Computed, not measured: an optimized crystal structure of Tb2Dy3Tm5 at the PBE-GGA level of DFT.

* V: 1316 Å³ per cell
* electronic total energy: -4.186 eV/atom
* total magnetization: 0.0 Bohr magnetons per cell
* N(E_F): 1.56 states/eV per atom
* relative energy among the computed polymorphs: 155 meV per atom

abc: 12.6627 16.7692 6.1964
angles: 90.00 90.00 90.00
Space group Ibam (No. 72)
Symmetry-distinct sites (fractional):
Tb1 0.1019 0.1566 0.0000 [8 per cell]
Dy1 0.0000 0.0000 0.2500 [4 per cell]
Dy2 0.1588 0.2491 0.5000 [8 per cell]
Tm1 0.0000 0.5000 0.2500 [4 per cell]
Tm2 0.0983 0.3441 0.0000 [8 per cell]
Tm3 0.2480 0.5000 0.2500 [8 per cell]